Entry from Alexandria: crystalline MgAlW3 at its relaxed geometry (PBE).

```
MgAlW3
1.0
4.601 0.000 0.000
0.000 4.601 0.000
0.000 0.000 4.601
Mg Al W
1 1 3
Direct
0.000 0.000 0.000 Mg
0.500 0.500 0.500 Al
0.000 0.500 0.500 W
0.500 0.000 0.500 W
0.500 0.500 0.000 W
```

Output
ΔH_f (0 K) in eV per atom: 1.756
Spin magnetization in μB per cell: 0.0
Distance to the lowest polymorph of the same formula in meV per atom: 0.0
Fermi-level density of states in states/eV/cell: 7.69
Volume in Å³/cell: 97.4
Space group: No. 221



Entry from Alexandria: crystalline Mg6AlW at its relaxed geometry (PBE).

```
Mg6AlW
1.0
4.845 0.000 0.000
0.000 3.040 5.346
0.000 -3.040 5.346
Mg Al W
6 1 1
Direct
0.000 0.000 0.000 Mg
0.000 0.017 0.491 Mg
0.000 0.491 0.017 Mg
0.500 0.344 0.838 Mg
0.500 0.838 0.344 Mg
0.500 0.839 0.839 Mg
0.000 0.480 0.480 Al
0.500 0.349 0.349 W
```

Output
ΔH_f (0 K) in eV per atom: 0.228
Spin magnetization in μB per cell: 0.0
Distance to the lowest polymorph of the same formula in meV per atom: 0.0
Fermi-level density of states in states/eV/cell: 5.97
Volume in Å³/cell: 157.5
Space group: No. 38



Entry from Alexandria: crystalline MgAlW3 at its relaxed geometry (PBE).

```
MgAlW3
1.0
4.567 0.000 0.000
0.000 4.567 0.000
0.000 0.000 4.567
Mg Al W
1 1 3
Direct
0.000 0.000 0.000 Mg
0.500 0.500 0.500 Al
0.000 0.000 0.500 W
0.000 0.500 0.000 W
0.500 0.000 0.000 W
```

Output
ΔH_f (0 K) in eV per atom: 2.399
Spin magnetization in μB per cell: 1.6
Distance to the lowest polymorph of the same formula in meV per atom: 643.1
Fermi-level density of states in states/eV/cell: 6.80
Volume in Å³/cell: 95.2
Space group: No. 221



Entry from Alexandria: crystalline Mg14AlW at its relaxed geometry (PBE).

```
Mg14AlW
1.0
10.197 0.000 0.000
0.000 3.059 5.420
0.000 -3.059 5.420
Mg Al W
14 1 1
Direct
0.000 0.000 0.000 Mg
0.000 0.003 0.500 Mg
0.000 0.499 0.499 Mg
0.000 0.500 0.003 Mg
0.247 0.665 0.665 Mg
0.258 0.160 0.160 Mg
0.264 0.164 0.673 Mg
0.264 0.673 0.164 Mg
0.500 0.499 0.998 Mg
0.500 0.998 0.499 Mg
0.736 0.164 0.673 Mg
0.736 0.673 0.164 Mg
0.742 0.160 0.160 Mg
0.753 0.665 0.665 Mg
0.500 0.504 0.504 Al
0.500 0.002 0.002 W
```

Output
ΔH_f (0 K) in eV per atom: 0.131
Spin magnetization in μB per cell: 1.0
Distance to the lowest polymorph of the same formula in meV per atom: 0.0
Fermi-level density of states in states/eV/cell: 10.06
Volume in Å³/cell: 338.2
Space group: No. 38



Entry from Alexandria: crystalline YMgAl2 at its relaxed geometry (PBE).

```
YMgAl2
1.0
3.474 0.000 0.000
0.000 3.474 0.000
0.000 0.000 7.059
Y Mg Al
1 1 2
Direct
0.000 0.000 0.000 Y
0.000 0.000 0.500 Mg
0.500 0.500 0.281 Al
0.500 0.500 0.719 Al
```

Output
ΔH_f (0 K) in eV per atom: -0.202
Spin magnetization in μB per cell: 0.0
Fermi-level density of states in states/eV/cell: 2.76
Volume in Å³/cell: 85.2
Space group: No. 123



Entry from Alexandria: crystalline YMgAl at its relaxed geometry (PBE).

```
YMgAl
1.0
4.809 0.000 0.000
-2.405 4.165 0.000
0.000 0.000 3.540
Y Mg Al
1 1 1
Direct
0.000 0.000 0.000 Y
0.333 0.667 0.500 Mg
0.667 0.333 0.500 Al
```

Output
ΔH_f (0 K) in eV per atom: -0.270
Spin magnetization in μB per cell: 0.0
Distance to the lowest polymorph of the same formula in meV per atom: 65.6
Fermi-level density of states in states/eV/cell: 2.65
Volume in Å³/cell: 70.9
Space group: No. 187